Below is a relaxed structure of PmY10Ho4, with properties calculated at the GGA-PBE level.

**Calculated formation energy**: 737 meV per atom
**M_tot**: 0.00 μB/atom
**Fermi-level density of states**: 1.266 states/eV/atom
**Symmetry**: I4/m (87)

Unit cell a=9.433 b=9.433 c=9.433 alpha=99.58 beta=99.58 gamma=131.85
Sites, in units of the cell vectors:
Pm: 0.000 0.000 0.000
Y: 0.051 0.151 0.698
Y: 0.151 0.453 0.100
Y: 0.250 0.750 0.500
Y: 0.352 0.051 0.900
Y: 0.453 0.352 0.302
Y: 0.547 0.648 0.698
Y: 0.648 0.949 0.100
Y: 0.750 0.250 0.500
Y: 0.849 0.547 0.900
Y: 0.949 0.849 0.302
Ho: 0.199 0.600 0.799
Ho: 0.400 0.199 0.600
Ho: 0.600 0.801 0.400
Ho: 0.801 0.400 0.201

---

Below is a relaxed structure of Pm5Y12Ho, with properties calculated at the GGA-PBE level.

**Calculated formation energy**: 21 meV per atom
**M_tot**: 0.00 μB/atom
**Fermi-level density of states**: 1.512 states/eV/atom
**Symmetry**: Cmmm (65)

Unit cell a=10.770 b=10.770 c=5.080 alpha=90.00 beta=90.00 gamma=90.10
Sites, in units of the cell vectors:
Pm: 0.000 0.000 0.000
Pm: 0.167 0.833 0.500
Pm: 0.334 0.666 0.000
Pm: 0.666 0.334 0.000
Pm: 0.833 0.167 0.500
Y: 0.000 0.334 0.000
Y: 0.000 0.666 0.000
Y: 0.167 0.167 0.500
Y: 0.168 0.499 0.500
Y: 0.334 0.000 0.000
Y: 0.334 0.334 0.000
Y: 0.499 0.168 0.500
Y: 0.501 0.832 0.500
Y: 0.666 0.000 0.000
Y: 0.666 0.666 0.000
Y: 0.832 0.501 0.500
Y: 0.833 0.833 0.500
Ho: 0.500 0.500 0.500

---

Below is a relaxed structure of Pm3Y8Ho4, with properties calculated at the GGA-PBE level.

**Calculated formation energy**: 396 meV per atom
**M_tot**: 0.00 μB/atom
**Fermi-level density of states**: 2.036 states/eV/atom
**Symmetry**: C2/m (12)

Unit cell a=9.301 b=9.301 c=6.760 alpha=111.29 beta=111.29 gamma=87.25
Sites, in units of the cell vectors:
Pm: 0.000 0.000 0.000
Pm: 0.000 0.500 0.500
Pm: 0.500 0.000 0.500
Y: 0.144 0.856 0.500
Y: 0.231 0.231 0.502
Y: 0.241 0.241 0.991
Y: 0.249 0.751 0.000
Y: 0.751 0.249 0.000
Y: 0.759 0.759 0.009
Y: 0.769 0.769 0.498
Y: 0.856 0.144 0.500
Ho: 0.000 0.500 0.000
Ho: 0.500 0.000 0.000
Ho: 0.500 0.500 0.000
Ho: 0.500 0.500 0.500

---

Below is a relaxed structure of Pm6Y4Ho, with properties calculated at the GGA-PBE level.

**Calculated formation energy**: 116 meV per atom
**M_tot**: 0.00 μB/atom
**Fermi-level density of states**: 1.748 states/eV/atom
**Symmetry**: Cmcm (63)

Unit cell a=5.679 b=5.679 c=25.885 alpha=90.00 beta=90.00 gamma=117.98
Sites, in units of the cell vectors:
Pm: 0.000 0.000 0.000
Pm: 0.000 0.000 0.500
Pm: 0.047 0.953 0.750
Pm: 0.302 0.698 0.103
Pm: 0.302 0.698 0.397
Pm: 0.374 0.626 0.683
Pm: 0.374 0.626 0.817
Pm: 0.626 0.374 0.183
Pm: 0.626 0.374 0.317
Pm: 0.698 0.302 0.603
Pm: 0.698 0.302 0.897
Pm: 0.953 0.047 0.250
Y: 0.039 0.961 0.624
Y: 0.039 0.961 0.876
Y: 0.349 0.651 0.544
Y: 0.349 0.651 0.956
Y: 0.651 0.349 0.044
Y: 0.651 0.349 0.456
Y: 0.961 0.039 0.124
Y: 0.961 0.039 0.376
Ho: 0.290 0.710 0.250
Ho: 0.710 0.290 0.750

---

Below is a relaxed structure of PmY7Ho3, with properties calculated at the GGA-PBE level.

**Calculated formation energy**: 202 meV per atom
**M_tot**: 0.00 μB/atom
**Fermi-level density of states**: 1.684 states/eV/atom
**Energy above the most stable polymorph in this dataset**: 0.057 eV per atom
**Symmetry**: P3m1 (156)

Unit cell a=7.091 b=7.091 c=8.608 alpha=90.00 beta=90.00 gamma=120.00
Sites, in units of the cell vectors:
Pm: 0.000 0.000 0.000
Y: 0.002 0.501 0.998
Y: 0.331 0.165 0.333
Y: 0.333 0.667 0.331
Y: 0.499 0.501 0.998
Y: 0.499 0.998 0.998
Y: 0.835 0.165 0.333
Y: 0.835 0.669 0.333
Ho: 0.167 0.334 0.664
Ho: 0.167 0.833 0.664
Ho: 0.666 0.833 0.664

---

Below is a relaxed structure of PmY6Ho6, with properties calculated at the GGA-PBE level.

**Calculated formation energy**: 231 meV per atom
**M_tot**: 0.00 μB/atom
**Fermi-level density of states**: 1.564 states/eV/atom
**Symmetry**: P2/m (10)

Unit cell a=6.616 b=10.957 c=6.618 alpha=90.00 beta=115.41 gamma=90.00
Sites, in units of the cell vectors:
Pm: 0.000 0.000 0.000
Y: 0.000 0.225 0.500
Y: 0.000 0.775 0.500
Y: 0.500 0.224 0.000
Y: 0.500 0.309 0.500
Y: 0.500 0.691 0.500
Y: 0.500 0.776 0.000
Ho: 0.000 0.334 0.000
Ho: 0.000 0.666 0.000
Ho: 0.255 0.500 0.745
Ho: 0.357 0.000 0.640
Ho: 0.643 0.000 0.360
Ho: 0.745 0.500 0.255

---

Below is a relaxed structure of PmY8Ho3, with properties calculated at the GGA-PBE level.

**Calculated formation energy**: 667 meV per atom
**M_tot**: 0.00 μB/atom
**Fermi-level density of states**: 1.664 states/eV/atom
**Symmetry**: I-42m (121)

Unit cell a=8.388 b=8.388 c=8.388 alpha=117.56 beta=117.56 gamma=94.28
Sites, in units of the cell vectors:
Pm: 0.000 0.000 0.000
Y: 0.127 0.380 0.000
Y: 0.245 0.245 0.510
Y: 0.265 0.755 0.000
Y: 0.380 0.127 0.000
Y: 0.620 0.620 0.747
Y: 0.735 0.735 0.490
Y: 0.755 0.265 0.000
Y: 0.873 0.873 0.253
Ho: 0.250 0.750 0.500
Ho: 0.500 0.500 0.000
Ho: 0.750 0.250 0.500

---

Below is a relaxed structure of PmY3Ho3, with properties calculated at the GGA-PBE level.

**Calculated formation energy**: 140 meV per atom
**M_tot**: 0.00 μB/atom
**Fermi-level density of states**: 1.524 states/eV/atom
**Energy above the most stable polymorph in this dataset**: 0.000 eV per atom
**Symmetry**: R-3 (148)

Unit cell a=14.676 b=14.676 c=14.676 alpha=24.33 beta=24.33 gamma=24.33
Sites, in units of the cell vectors:
Pm: 0.167 0.167 0.167
Pm: 0.833 0.833 0.833
Y: 0.036 0.699 0.367
Y: 0.301 0.633 0.964
Y: 0.367 0.036 0.699
Y: 0.633 0.964 0.301
Y: 0.699 0.367 0.036
Y: 0.964 0.301 0.633
Ho: 0.099 0.433 0.767
Ho: 0.233 0.901 0.567
Ho: 0.433 0.767 0.099
Ho: 0.567 0.233 0.901
Ho: 0.767 0.099 0.433
Ho: 0.901 0.567 0.233

---

> M_tot of number 2 (Pm5Y12Ho)?

0.00 μB/atom

---

> Among the records above, which one has the lowest calculated formation energy?

Pm5Y12Ho